Record 1
## AlCu2O (PBE)

Data for a relaxed AlCu2O crystal.

Lattice parameters (Å, degrees): 5.6939 5.6939 5.2883 57.43 57.43 90.00
With the nearest neighbours (Å) after each atom.
Fractional coordinates of all 8 atoms:
O  0.5000  0.5000  0.0000  4 Cu 1.94
O  0.2500  0.7500  0.5000  4 Cu 1.94
Al  0.0000  0.0000  0.0000  4 Cu 2.48
Al  0.7500  0.2500  0.5000  4 Cu 2.48
Cu  0.5510  0.1250  0.2500  2 O 1.94
Cu  0.1990  0.6250  0.2500  2 O 1.94
Cu  0.3750  0.4490  0.7500  2 O 1.94
Cu  0.8750  0.8010  0.7500  2 O 1.94

Values from the calculation:
Energy above the most stable polymorph in this dataset, eV per atom: 0.000
Crystal system: tetragonal
Energy relative to the elements, uncorrected, eV per atom: -0.106
SG: I-42d

Record 2
## AlCuO3 (PBE)

Data for a relaxed AlCuO3 crystal.

Lattice parameters (Å, degrees): 4.6112 4.8681 8.6702 90.00 90.00 90.00
With the nearest neighbours (Å) after each atom.
Fractional coordinates of all 20 atoms:
Al  0.0424  0.5266  0.2500  6 O 1.81-2.01
Al  0.5424  0.9734  0.7500  6 O 1.81-2.01
Al  0.4576  0.0266  0.2500  6 O 1.81-2.01
Al  0.9576  0.4734  0.7500  6 O 1.81-2.01
Cu  0.0000  0.0000  0.5000  4 O 1.91
Cu  0.5000  0.5000  0.5000  4 O 1.91
Cu  0.5000  0.5000  0.0000  4 O 1.91
Cu  0.0000  0.0000  0.0000  4 O 1.91
O  0.7350  0.2368  0.6046  2 Cu 1.91, 2 Al 1.99-2.01
O  0.2350  0.2632  0.3954  2 Cu 1.91, 2 Al 1.99-2.01
O  0.7650  0.7368  0.8954  2 Cu 1.91, 2 Al 1.99-2.01
O  0.2650  0.7632  0.1046  2 Cu 1.91, 2 Al 1.99-2.01
O  0.2650  0.7632  0.3954  2 Cu 1.91, 2 Al 1.99-2.01
O  0.7650  0.7368  0.6046  2 Cu 1.91, 2 Al 1.99-2.01
O  0.2350  0.2632  0.1046  2 Cu 1.91, 2 Al 1.99-2.01
O  0.7350  0.2368  0.8954  2 Cu 1.91, 2 Al 1.99-2.01
O  0.2288  0.1966  0.7500  2 Al 1.81-1.84
O  0.7288  0.3034  0.2500  2 Al 1.81-1.84
O  0.2712  0.6966  0.7500  2 Al 1.81-1.84
O  0.7712  0.8034  0.2500  2 Al 1.81-1.84

Values from the calculation:
Crystal system: orthorhombic
Energy relative to the elements, uncorrected, eV per atom: -1.543
SG: Pnma

Record 3
## AlCu3O (PBE)

Data for a relaxed AlCu3O crystal.

Lattice parameters (Å, degrees): 4.4451 4.4451 4.4451 90.00 90.00 90.00
With the nearest neighbours (Å) after each atom.
Fractional coordinates of all 5 atoms:
O  0.5000  0.5000  0.5000  12 Cu 3.14
Al  0.0000  0.0000  0.0000  6 Cu 2.22
Cu  0.0000  0.5000  0.0000  2 Al 2.22
Cu  0.0000  0.0000  0.5000  2 Al 2.22
Cu  0.5000  0.0000  0.0000  2 Al 2.22

Values from the calculation:
Energy above the most stable polymorph in this dataset, eV per atom: 1.132
Crystal system: cubic
Energy relative to the elements, uncorrected, eV per atom: 1.153
SG: Pm-3m

Record 4
## Al5Cu3O12 (PBE)

Data for a relaxed Al5Cu3O12 crystal.

Lattice parameters (Å, degrees): 10.1960 10.1960 10.1960 109.47 109.47 109.47
With the nearest neighbours (Å) after each atom.
Fractional coordinates of all 80 atoms:
Cu  0.7500  0.3750  0.1250  8 O 2.20-2.39
Cu  0.8750  0.7500  0.1250  8 O 2.20-2.39
Cu  0.3750  0.7500  0.6250  8 O 2.20-2.39
Cu  0.2500  0.1250  0.3750  8 O 2.20-2.39
Cu  0.8750  0.1250  0.2500  8 O 2.20-2.39
Cu  0.3750  0.6250  0.2500  8 O 2.20-2.39
Cu  0.6250  0.3750  0.7500  8 O 2.20-2.39
Cu  0.1250  0.8750  0.7500  8 O 2.20-2.39
Cu  0.7500  0.8750  0.6250  8 O 2.20-2.39
Cu  0.6250  0.2500  0.3750  8 O 2.20-2.39
Cu  0.1250  0.2500  0.8750  8 O 2.20-2.39
Cu  0.2500  0.6250  0.8750  8 O 2.20-2.39
Al  0.1250  0.3750  0.2500  4 O 1.76
Al  0.0000  0.5000  0.0000  6 O 1.89
Al  0.0000  0.0000  0.0000  6 O 1.89
Al  0.3750  0.2500  0.1250  4 O 1.76
Al  0.5000  0.0000  0.5000  6 O 1.89
Al  0.5000  0.5000  0.0000  6 O 1.89
Al  0.1250  0.7500  0.3750  4 O 1.76
Al  0.7500  0.1250  0.8750  4 O 1.76
Al  0.7500  0.6250  0.3750  4 O 1.76
Al  0.3750  0.1250  0.7500  4 O 1.76
Al  0.6250  0.8750  0.2500  4 O 1.76
Al  0.5000  0.5000  0.5000  6 O 1.89
Al  0.5000  0.0000  0.0000  6 O 1.89
Al  0.0000  0.0000  0.5000  6 O 1.89
Al  0.2500  0.3750  0.6250  4 O 1.76
Al  0.2500  0.8750  0.1250  4 O 1.76
Al  0.0000  0.5000  0.5000  6 O 1.89
Al  0.8750  0.2500  0.6250  4 O 1.76
Al  0.6250  0.7500  0.8750  4 O 1.76
Al  0.8750  0.6250  0.7500  4 O 1.76
O  0.7007  0.1255  0.0247  2 Al 1.76-1.89
O  0.3240  0.5247  0.3992  2 Al 1.76-1.89
O  0.9753  0.3745  0.2993  2 Al 1.76-1.89
O  0.5247  0.2007  0.1255  2 Al 1.76-1.89
O  0.5751  0.7007  0.6760  2 Al 1.76-1.89
O  0.9753  0.6008  0.1760  2 Al 1.76-1.89
O  0.3240  0.7993  0.4249  2 Al 1.76-1.89
O  0.1008  0.9249  0.1255  2 Al 1.76-1.89
O  0.6008  0.9753  0.6760  2 Al 1.76-1.89
O  0.7007  0.5751  0.1760  2 Al 1.76-1.89
O  0.7993  0.4753  0.3745  2 Al 1.76-1.89
O  0.8240  0.8992  0.0247  2 Al 1.76-1.89
O  0.1255  0.7007  0.5247  2 Al 1.76-1.89
O  0.3745  0.3992  0.0751  2 Al 1.76-1.89
O  0.0751  0.8992  0.3745  2 Al 1.76-1.89
O  0.4249  0.1255  0.6008  2 Al 1.76-1.89
O  0.0751  0.1760  0.2007  2 Al 1.76-1.89
O  0.4753  0.6760  0.1008  2 Al 1.76-1.89
O  0.8240  0.9249  0.2993  2 Al 1.76-1.89
O  0.1255  0.4249  0.1008  2 Al 1.76-1.89
O  0.3745  0.9753  0.7993  2 Al 1.76-1.89
O  0.6008  0.6255  0.4249  2 Al 1.76-1.89
O  0.8992  0.8240  0.5247  2 Al 1.76-1.89
O  0.7993  0.3240  0.9249  2 Al 1.76-1.89
O  0.3992  0.3745  0.5751  2 Al 1.76-1.89
O  0.1008  0.1760  0.4753  2 Al 1.76-1.89
O  0.2007  0.6760  0.0751  2 Al 1.76-1.89
O  0.1760  0.0751  0.7007  2 Al 1.76-1.89
O  0.6255  0.0247  0.2007  2 Al 1.76-1.89
O  0.8745  0.5751  0.8992  2 Al 1.76-1.89
O  0.5247  0.3240  0.8992  2 Al 1.76-1.89
O  0.5751  0.8745  0.3992  2 Al 1.76-1.89
O  0.9249  0.8240  0.7993  2 Al 1.76-1.89
O  0.9249  0.1008  0.6255  2 Al 1.76-1.89
O  0.8745  0.2993  0.4753  2 Al 1.76-1.89
O  0.1760  0.1008  0.9753  2 Al 1.76-1.89
O  0.6255  0.6008  0.9249  2 Al 1.76-1.89
O  0.3992  0.0247  0.3240  2 Al 1.76-1.89
O  0.2993  0.4249  0.8240  2 Al 1.76-1.89
O  0.2007  0.5247  0.6255  2 Al 1.76-1.89
O  0.8992  0.0751  0.8745  2 Al 1.76-1.89
O  0.6760  0.2007  0.5751  2 Al 1.76-1.89
O  0.4753  0.7993  0.8745  2 Al 1.76-1.89
O  0.0247  0.3992  0.8240  2 Al 1.76-1.89
O  0.4249  0.2993  0.3240  2 Al 1.76-1.89
O  0.0247  0.6255  0.7007  2 Al 1.76-1.89
O  0.6760  0.4753  0.6008  2 Al 1.76-1.89
O  0.2993  0.8745  0.9753  2 Al 1.76-1.89

Values from the calculation:
Crystal system: cubic
Energy relative to the elements, uncorrected, eV per atom: -1.768
SG: Ia-3d